## MnSiB (GGA-PBE)

Data for crystalline MnSiB at its relaxed geometry.

Crystal system ... monoclinic
Space-group type ... No. 11
Calculated volume ... 60.2 Å³/cell
Raw total energy ... -7.273 eV/atom

Cell lengths 4.066, 3.193, 5.021 Å; angles 90.00, 112.53, 90.00 degrees
Sites, in units of the cell vectors:
Mn 0.206 0.250 0.408
Mn 0.794 0.750 0.592
Si 0.193 0.250 0.915
Si 0.807 0.750 0.085
B 0.358 0.750 0.711
B 0.642 0.250 0.289

---

## ZrSc4Hg (GGA-PBE)

Data for crystalline ZrSc4Hg at its relaxed geometry.

Crystal system ... tetragonal
Space-group type ... No. 123
Calculated volume ... 140.3 Å³/cell
Energy of formation ... -68 kJ/mol of formula units
Raw total energy ... -5.813 eV/atom

Cell lengths 3.259, 3.259, 13.206 Å; angles 90.00, 90.00, 90.00 degrees
Sites, in units of the cell vectors:
Zr 0.000 0.000 0.000
Sc 0.000 0.000 0.348
Sc 0.000 0.000 0.652
Sc 0.500 0.500 0.167
Sc 0.500 0.500 0.833
Hg 0.500 0.500 0.500

---

## SrAl4Si (GGA-PBE)

Data for crystalline SrAl4Si at its relaxed geometry.

Crystal system ... cubic
Space-group type ... No. 216
Calculated volume ... 125.2 Å³/cell
Raw total energy ... -3.555 eV/atom

Cell lengths 5.615, 5.615, 5.615 Å; angles 60.00, 60.00, 60.00 degrees
Sites, in units of the cell vectors:
Sr 0.000 0.000 0.000
Al 0.129 0.624 0.624
Al 0.624 0.129 0.624
Al 0.624 0.624 0.129
Al 0.624 0.624 0.624
Si 0.250 0.250 0.250

---

## PdAu6 (GGA-PBE)

Data for crystalline PdAu6 at its relaxed geometry.

Crystal system ... tetragonal
Space-group type ... No. 123
Calculated volume ... 133.2 Å³/cell
Energy of formation ... 8 kJ/mol of formula units
Raw total energy ... -3.540 eV/atom

Cell lengths 4.038, 4.038, 8.172 Å; angles 90.00, 90.00, 90.00 degrees
Sites, in units of the cell vectors:
Pd 0.000 0.000 0.000
Au 0.000 0.000 0.500
Au 0.000 0.500 0.258
Au 0.000 0.500 0.742
Au 0.500 0.000 0.258
Au 0.500 0.000 0.742
Au 0.500 0.500 0.000

---

Repeat the third record exactly.
## SrAl4Si (GGA-PBE)

Data for crystalline SrAl4Si at its relaxed geometry.

Crystal system ... cubic
Space-group type ... No. 216
Calculated volume ... 125.2 Å³/cell
Raw total energy ... -3.555 eV/atom

Cell lengths 5.615, 5.615, 5.615 Å; angles 60.00, 60.00, 60.00 degrees
Sites, in units of the cell vectors:
Sr 0.000 0.000 0.000
Al 0.129 0.624 0.624
Al 0.624 0.129 0.624
Al 0.624 0.624 0.129
Al 0.624 0.624 0.624
Si 0.250 0.250 0.250